1.
Entry from the Alexandria database: LaMg4Hg after structural relaxation (GGA-PBE).

Cell and atoms, written as POSCAR:
```
LaMg4Hg
1.0
4.4460 0.0000 0.0000
0.0000 7.9948 0.0000
0.0000 0.0000 8.6624
Mg La Hg
8 2 2
direct
0.5000 0.6899 0.4469
0.5000 0.3101 0.5531
0.5000 0.3101 0.9469
0.5000 0.0543 0.2500
0.0000 0.0000 0.5000
0.5000 0.6899 0.0531
0.0000 0.0000 0.0000
0.5000 0.9457 0.7500
0.0000 0.3794 0.2500
0.0000 0.6206 0.7500
0.0000 0.2180 0.7500
0.0000 0.7820 0.2500
```

Calculated values
E above lowest polymorph: 0.000 eV per atom
Magnetization: 0.000 μB per formula unit
Space group: Pmma, No. 51

=====

2.
Entry from the Alexandria database: LaMgHg2 after structural relaxation (GGA-PBE).

Cell and atoms, written as POSCAR:
```
LaMgHg2
1.0
-4.4188 -0.5572 3.9964
2.0341 -0.2686 5.6212
0.2463 3.6058 -4.7693
Hg Mg La
2 1 1
direct
0.7651 0.2651 0.5000
0.0039 0.0039 0.0000
0.2288 0.7288 0.5000
0.5023 0.5023 0.0000
```

Calculated values
Magnetization: 0.000 μB per formula unit
Space group: Imm2, No. 44

=====

3.
Entry from the Alexandria database: La3Mg4Hg4 after structural relaxation (GGA-PBE).

Cell and atoms, written as POSCAR:
```
La3Mg4Hg4
1.0
4.5074 0.0000 -1.1212
-0.9749 6.9397 -3.9193
-0.1383 0.4549 9.0647
Mg Hg La
4 4 3
direct
0.6753 0.8670 0.3506
0.3247 0.5164 0.6494
0.6753 0.4836 0.3506
0.3247 0.1330 0.6494
0.5000 0.2013 0.0000
0.7762 0.2762 0.5525
0.5000 0.7987 0.0000
0.2238 0.7238 0.4475
0.8831 0.8831 0.7662
0.1169 0.1169 0.2338
0.0000 0.5000 0.0000
```

Calculated values
Magnetization: 0.000 μB per formula unit
Space group: Immm, No. 71

=====

4.
Entry from the Alexandria database: LaMg3Hg4 after structural relaxation (GGA-PBE).

Cell and atoms, written as POSCAR:
```
LaMg3Hg4
1.0
4.9744 0.0000 0.0000
0.0000 7.6543 0.0000
0.0000 0.0000 9.9531
La Hg Mg
2 8 6
direct
0.0000 0.5000 0.0000
0.0000 0.5000 0.5000
0.9998 0.2279 0.2500
0.0002 0.7721 0.7500
0.5000 0.7722 0.5000
0.0002 0.2279 0.7500
0.5000 0.2278 0.5000
0.5000 0.7722 0.0000
0.9998 0.7721 0.2500
0.5000 0.2278 0.0000
0.5001 0.0000 0.7500
0.4999 0.5000 0.2500
0.4999 0.0000 0.2500
0.0000 0.0000 0.0000
0.0000 0.0000 0.5000
0.5001 0.5000 0.7500
```

Calculated values
Magnetization: 0.000 μB per formula unit
Space group: P4/mmm, No. 123

=====

5.
Entry from the Alexandria database: LaMg2Hg8 after structural relaxation (GGA-PBE).

Cell and atoms, written as POSCAR:
```
LaMg2Hg8
1.0
5.4344 0.0314 -0.4904
-0.2186 6.0175 -2.0374
0.0146 -0.4641 8.5446
Hg Mg La
8 2 1
direct
0.8842 0.7907 0.5815
0.5303 0.8480 0.1916
0.1158 0.2093 0.4185
0.0123 0.5942 0.1884
0.4697 0.1520 0.8084
0.5303 0.3435 0.1916
0.4697 0.6565 0.8084
0.9877 0.4058 0.8116
0.6346 0.2579 0.5158
0.3654 0.7421 0.4842
0.0000 0.0000 0.0000
```

Calculated values
Magnetization: 0.000 μB per formula unit
Space group: C2/m, No. 12

=====

6.
Entry from the Alexandria database: LaMgHg3 after structural relaxation (GGA-PBE).

Cell and atoms, written as POSCAR:
```
LaMgHg3
1.0
4.9707 0.0000 0.0010
0.0000 4.3137 0.0000
-2.4864 -2.1569 12.2240
Mg Hg La
2 6 2
direct
0.3882 0.1398 0.2795
0.6118 0.8602 0.7205
0.4628 0.7081 0.4162
0.2798 0.0301 0.0601
0.0538 0.8036 0.6072
0.9462 0.1964 0.3928
0.7202 0.9699 0.9399
0.5372 0.2919 0.5838
0.1701 0.4182 0.8363
0.8299 0.5818 0.1637
```

Calculated values
E above lowest polymorph: 0.000 eV per atom
Magnetization: 0.000 μB per formula unit
Space group: C2/m, No. 12

=====

| no. | energy relative to the elements (eV per atom) |
| --- | --- |
| 1 | -0.1999 |
| 2 | -0.2771 |
| 3 | -0.3843 |
| 4 | -0.3324 |
| 5 | -0.1900 |
| 6 | -0.2717 |